The following is a DFT calculation (PBE with a Hubbard U) of crystalline CoH2Cl2O at its relaxed geometry.

Cell and atoms, written as extended XYZ:
```
24
Lattice="-8.719 -0.046 1.023 0.199 -3.150 1.552 1.148 5.008 10.013" Properties=species:S:1:pos:R:3 pbc="T T T"
H -7.946 -1.703 3.539
H -4.037 2.394 7.366
H -2.221 -1.045 4.140
H -5.150 2.857 8.449
H 0.574 3.515 9.050
H -0.755 3.039 8.254
H -3.334 -0.582 5.223
H -6.617 -1.227 4.335
Cl -2.915 1.994 10.396
Cl -7.560 0.727 8.419
Cl -4.457 -0.182 2.193
Cl -1.414 -1.904 2.295
Cl -1.958 2.170 6.645
Cl 0.188 1.085 4.170
Cl -5.957 3.715 10.294
Cl -5.414 -0.358 5.944
Co -5.753 -2.298 2.051
Co -0.863 0.037 6.163
Co -6.509 1.775 6.426
Co -1.619 4.110 10.538
O -4.999 2.434 7.570
O -2.373 -0.622 5.019
O -6.963 -1.653 3.515
O -0.408 3.465 9.074
```

Crystal system: orthorhombic
Density: 2.83 g/cm³
Space-group type: Pnma
Final energy: -4.37 eV per atom